Crystalline Ac2Pr4Y at its relaxed geometry, computed with PBE.

Computed properties:
crystal system = monoclinic
density of states at the Fermi level = 25.73 states/eV/cell
energy of formation = 67 kJ/mol of formula units
ΔE to the lowest computed polymorph = 74.9 meV per atom

a b c (Å): 10.0618 6.2052 9.5694
angles (deg): 90.00 117.24 90.00
Space group C2/m (No. 12)
Asymmetric unit:
Ac  0.2195  0.0000  0.1408 x4
Pr  0.0554  0.0000  0.7031 x4
Pr  0.1448  0.5000  0.4208 x4
Y  0.0000  0.5000  0.0000 x2


Crystalline Ac4Pr4Y3 at its relaxed geometry, computed with PBE.

Computed properties:
crystal system = monoclinic
density of states at the Fermi level = 38.44 states/eV/cell
energy of formation = 51 kJ/mol of formula units

a b c (Å): 37.8521 5.9517 3.7579
angles (deg): 90.00 95.67 90.00
Space group C2/m (No. 12)
Asymmetric unit:
Ac  0.0939  0.0000  0.0920 x4
Ac  0.2213  0.5000  0.2201 x4
Pr  0.0422  0.5000  0.0415 x4
Pr  0.1802  0.0000  0.6787 x4
Y  0.0000  0.0000  0.5000 x2
Y  0.1285  0.5000  0.6262 x4


Crystalline AcPr5Y4 at its relaxed geometry, computed with PBE.

Computed properties:
crystal system = tetragonal
density of states at the Fermi level = 14.83 states/eV/cell
energy of formation = 21 kJ/mol of formula units

a b c (Å): 3.7161 3.7161 25.6535
angles (deg): 90.00 90.00 90.00
Space group P4/mmm (No. 123)
Asymmetric unit:
Ac  0.0000  0.0000  0.0000 x1
Pr  0.5000  0.5000  0.1085 x2
Pr  0.5000  0.5000  0.3049 x2
Pr  0.5000  0.5000  0.5000 x1
Y  0.0000  0.0000  0.2071 x2
Y  0.0000  0.0000  0.4023 x2


Per-record DFT total energy, eV/atom: -4.729; -4.947; -5.364